(1)
Below is K3H12N5 after structural relaxation, with properties calculated at the GGA-PBE level.

Calculated values
Its space-group type is Ia-3d. The value obtained for the volume is 7.71 Å³ per atom. The total energy is -4.215 eV/atom.

Cell and atoms, written as POSCAR:
```
K3H12N5
1.0
-5.362 5.362 5.362
5.362 -5.362 5.362
5.362 5.362 -5.362
K H N
12 48 20
Cartesian
2.681 1.341 0.000
5.362 2.681 -1.341
1.341 0.000 2.681
6.703 0.000 2.681
0.000 2.681 1.341
2.681 -1.341 5.362
2.681 6.703 0.000
5.362 2.681 4.022
-1.341 5.362 2.681
4.022 5.362 2.681
0.000 2.681 6.703
2.681 4.022 5.362
4.380 -2.688 3.467
9.026 0.786 -0.006
7.061 0.786 0.006
6.345 -2.675 3.467
8.037 1.895 -0.982
5.369 -3.664 4.576
3.467 4.380 -2.688
4.576 -0.006 1.699
4.576 5.369 -3.664
3.467 -0.982 2.688
2.688 3.467 -0.982
5.356 1.699 0.786
8.050 1.895 0.982
5.356 -1.699 4.576
4.576 5.356 -1.699
3.467 0.982 2.675
3.467 6.345 -2.675
4.576 0.006 3.664
2.675 3.467 0.982
5.369 3.664 0.786
1.699 4.576 -0.006
6.345 2.675 1.895
3.664 4.576 0.006
4.380 2.688 1.895
0.982 2.675 3.467
1.699 0.786 5.356
-0.982 2.688 3.467
3.664 0.786 5.369
-0.006 1.699 4.576
2.688 1.895 4.380
0.786 5.356 1.699
1.895 -0.982 8.037
1.895 4.380 2.688
0.786 0.006 7.061
0.006 7.061 0.786
-2.688 3.467 4.380
0.006 3.664 4.576
2.675 1.895 6.345
1.895 6.345 2.675
0.786 -0.006 9.026
0.786 5.369 3.664
1.895 0.982 8.050
-0.006 9.026 0.786
-2.675 3.467 6.345
-0.982 8.037 1.895
-1.699 4.576 5.356
-3.664 4.576 5.369
0.982 8.050 1.895
0.000 0.000 0.000
2.681 2.681 -2.681
2.681 -2.681 2.681
5.362 0.000 0.000
8.044 1.341 0.000
5.362 -2.681 4.022
4.022 5.362 -2.681
4.022 0.000 2.681
2.681 4.022 0.000
5.362 2.681 1.341
-2.681 2.681 2.681
0.000 5.362 0.000
0.000 0.000 5.362
2.681 2.681 2.681
0.000 2.681 4.022
2.681 1.341 5.362
1.341 5.362 2.681
1.341 0.000 8.044
0.000 8.044 1.341
-2.681 4.022 5.362
```

(2)
Below is KH4N after structural relaxation, with properties calculated at the GGA-PBE level.

Calculated values
Its space-group type is P1. The value obtained for the volume is 23.57 Å³ per atom. The total energy is -3.806 eV/atom.

Cell and atoms, written as POSCAR:
```
KH4N
1.0
4.607 0.000 0.000
1.301 4.419 0.000
0.608 0.457 6.948
K H N
1 4 1
Cartesian
0.000 0.000 0.000
2.574 1.939 2.870
3.227 3.492 3.179
3.118 2.341 4.448
4.250 2.119 3.176
3.294 2.474 3.420
```

Please write out number 1 again, unchanged.
Below is K3H12N5 after structural relaxation, with properties calculated at the GGA-PBE level.

Calculated values
Its space-group type is Ia-3d. The value obtained for the volume is 7.71 Å³ per atom. The total energy is -4.215 eV/atom.

Cell and atoms, written as POSCAR:
```
K3H12N5
1.0
-5.362 5.362 5.362
5.362 -5.362 5.362
5.362 5.362 -5.362
K H N
12 48 20
Cartesian
2.681 1.341 0.000
5.362 2.681 -1.341
1.341 0.000 2.681
6.703 0.000 2.681
0.000 2.681 1.341
2.681 -1.341 5.362
2.681 6.703 0.000
5.362 2.681 4.022
-1.341 5.362 2.681
4.022 5.362 2.681
0.000 2.681 6.703
2.681 4.022 5.362
4.380 -2.688 3.467
9.026 0.786 -0.006
7.061 0.786 0.006
6.345 -2.675 3.467
8.037 1.895 -0.982
5.369 -3.664 4.576
3.467 4.380 -2.688
4.576 -0.006 1.699
4.576 5.369 -3.664
3.467 -0.982 2.688
2.688 3.467 -0.982
5.356 1.699 0.786
8.050 1.895 0.982
5.356 -1.699 4.576
4.576 5.356 -1.699
3.467 0.982 2.675
3.467 6.345 -2.675
4.576 0.006 3.664
2.675 3.467 0.982
5.369 3.664 0.786
1.699 4.576 -0.006
6.345 2.675 1.895
3.664 4.576 0.006
4.380 2.688 1.895
0.982 2.675 3.467
1.699 0.786 5.356
-0.982 2.688 3.467
3.664 0.786 5.369
-0.006 1.699 4.576
2.688 1.895 4.380
0.786 5.356 1.699
1.895 -0.982 8.037
1.895 4.380 2.688
0.786 0.006 7.061
0.006 7.061 0.786
-2.688 3.467 4.380
0.006 3.664 4.576
2.675 1.895 6.345
1.895 6.345 2.675
0.786 -0.006 9.026
0.786 5.369 3.664
1.895 0.982 8.050
-0.006 9.026 0.786
-2.675 3.467 6.345
-0.982 8.037 1.895
-1.699 4.576 5.356
-3.664 4.576 5.369
0.982 8.050 1.895
0.000 0.000 0.000
2.681 2.681 -2.681
2.681 -2.681 2.681
5.362 0.000 0.000
8.044 1.341 0.000
5.362 -2.681 4.022
4.022 5.362 -2.681
4.022 0.000 2.681
2.681 4.022 0.000
5.362 2.681 1.341
-2.681 2.681 2.681
0.000 5.362 0.000
0.000 0.000 5.362
2.681 2.681 2.681
0.000 2.681 4.022
2.681 1.341 5.362
1.341 5.362 2.681
1.341 0.000 8.044
0.000 8.044 1.341
-2.681 4.022 5.362
```